Material: ZrPWCl2
Method: DFT, PBE
State: optimized geometry

Cell lengths 4.695, 4.695, 4.859 Å; angles 90.00, 90.00, 90.00 degrees
Fractional positions:
1 Zr 0.000 0.000 0.000
2 P 0.500 0.500 0.000
3 W 0.500 0.500 0.500
4 Cl 0.000 0.500 0.500
5 Cl 0.500 0.000 0.500

Calculated values
**Spin magnetization**: 2.48 μB per cell
**Relative energy among the computed polymorphs**: 0.00 eV/f.u.
**Raw formation energy**: 0.4973 eV per atom

Material: Tm5TeS4
Method: DFT, PBE
State: optimized geometry

Cell lengths 6.864, 6.864, 9.674 Å; angles 118.47, 118.47, 33.08 degrees
Fractional positions:
1 Tm 0.000 0.000 0.000
2 Tm 0.212 0.212 0.822
3 Tm 0.383 0.383 0.614
4 Tm 0.617 0.617 0.386
5 Tm 0.788 0.788 0.178
6 Te 0.000 0.000 0.500
7 S 0.206 0.206 0.291
8 S 0.408 0.408 0.108
9 S 0.592 0.592 0.892
10 S 0.794 0.794 0.709

Calculated values
**Spin magnetization**: 0.00 μB per cell
**Raw formation energy**: -1.7423 eV per atom

Material: KCa3Au
Method: DFT, PBE
State: optimized geometry

Cell lengths 5.911, 5.911, 5.911 Å; angles 90.00, 90.00, 90.00 degrees
Fractional positions:
1 K 0.000 0.000 0.000
2 Ca 0.000 0.500 0.500
3 Ca 0.500 0.000 0.500
4 Ca 0.500 0.500 0.000
5 Au 0.500 0.500 0.500

Calculated values
**E_form**: -291.5 meV per atom
**Spin magnetization**: 0.00 μB per cell
**Relative energy among the computed polymorphs**: 0.00 eV/f.u.

Material: Mg2ZrW
Method: DFT, PBE
State: optimized geometry

Cell lengths 4.796, 4.796, 4.796 Å; angles 60.00, 60.00, 60.00 degrees
Fractional positions:
1 Mg 0.000 0.000 0.000
2 Mg 0.250 0.250 0.250
3 Zr 0.500 0.500 0.500
4 W 0.750 0.750 0.750

Calculated values
**E_form**: 463.8 meV per atom
**Spin magnetization**: 0.00 μB per cell
**Relative energy among the computed polymorphs**: 1.04 eV/f.u.

Material: Nd2AlCu5
Method: DFT, PBE
State: optimized geometry

Cell lengths 6.045, 6.045, 6.045 Å; angles 119.95, 119.95, 90.09 degrees
Fractional positions:
1 Nd 0.000 0.500 0.500
2 Nd 0.500 0.000 0.500
3 Al 0.251 0.251 0.000
4 Cu 0.542 0.542 0.587
5 Cu 0.542 0.954 0.000
6 Cu 0.954 0.542 0.000
7 Cu 0.954 0.954 0.413
8 Cu 0.955 0.955 0.000

Calculated values
**E_form**: -73.7 meV per atom
**Spin magnetization**: 0.00 μB per cell

Material: CaPm2InAu4
Method: DFT, PBE
State: optimized geometry

Cell lengths 8.878, 8.878, 8.878 Å; angles 33.33, 33.33, 33.33 degrees
Fractional positions:
1 Ca 0.000 0.000 0.000
2 Pm 0.244 0.244 0.244
3 Pm 0.756 0.756 0.756
4 In 0.500 0.500 0.500
5 Au 0.121 0.121 0.121
6 Au 0.372 0.372 0.372
7 Au 0.628 0.628 0.628
8 Au 0.879 0.879 0.879

Calculated values
**E_form**: -761.9 meV per atom
**Spin magnetization**: 0.00 μB per cell